Here is a geometry-optimized CeU2 structure from Alexandria via LeMat-Bulk. Energies are from PBE.

The crystal system is cubic. For the formation enthalpy at 0 K, the calculation gives 0.178 eV/atom. For the magnetization, the calculation gives 14.1 Bohr magnetons per cell. The calculation puts the density of states at the Fermi level at 77.79 states/eV per cell.

The structure belongs to space group Fd-3m (No. 227, origin choice 2); the cell edges are 8.121, 8.121 and 8.121 Å and the angles 90.00°, 90.00° and 90.00°. The inequivalent atoms are Ce at (0.125, 0.125, 0.125) and U at (0.000, 0.000, 0.500).